Material: KBi2F
Method: DFT, meta-GGA SCAN
State: PBEsol geometry

Structure (POSCAR):
```
KBi2F
1.0
-3.025 3.025 8.074
3.025 -3.025 8.074
3.025 3.025 -8.074
K Bi F
2 4 2
Direct
0.375 0.625 0.750
0.625 0.375 0.250
0.000 0.000 0.000
0.000 0.000 0.500
0.000 0.500 0.000
0.500 0.000 0.500
0.125 0.875 0.250
0.875 0.125 0.750
```

Formation energy (no corrections)   -560 meV per atom
D(E_F)   3.78 states/eV/cell
Crystal system   tetragonal
Magnetic moment   0.000 μB per formula unit
Uncorrected energy   -42.817 eV/atom
Space-group type   No. 141

Material: TlHgO2
Method: DFT, meta-GGA SCAN
State: PBEsol geometry

Structure (POSCAR):
```
TlHgO2
1.0
-2.629 2.629 5.263
2.629 -2.629 5.263
2.629 2.629 -5.263
Tl Hg O
2 2 4
Direct
0.000 0.000 0.000
0.750 0.250 0.500
0.250 0.750 0.500
0.500 0.500 0.000
0.118 0.625 0.993
0.375 0.368 0.493
0.632 0.125 0.007
0.875 0.882 0.507
```

ΔE to the lowest computed polymorph   0.019 eV/atom
Formation energy (no corrections)   -390 meV per atom
D(E_F)   1.38 states/eV/cell
Crystal system   tetragonal
Magnetic moment   0.000 μB per formula unit
Uncorrected energy   -38.637 eV/atom
Space-group type   No. 122

Material: Ta5Mo3
Method: DFT, meta-GGA SCAN
State: PBEsol geometry

Structure (POSCAR):
```
Ta5Mo3
1.0
2.820 0.000 0.000
0.000 8.951 0.000
-0.858 0.000 5.265
Ta Mo
5 3
Direct
0.000 0.000 0.000
0.256 0.255 0.748
0.256 0.745 0.748
0.744 0.255 0.252
0.744 0.745 0.252
0.000 0.500 0.000
0.500 0.000 0.500
0.500 0.500 0.500
```

ΔE to the lowest computed polymorph   0.054 eV/atom
D(E_F)   7.39 states/eV/cell
Crystal system   monoclinic
Magnetic moment   0.000 μB per formula unit
Uncorrected energy   -54.793 eV/atom
Calculated formation energy   -9.3 kJ per mole of atoms
Space-group type   No. 10

Material: Li2GePd2
Method: DFT, meta-GGA SCAN
State: PBEsol geometry

Structure (POSCAR):
```
Li2GePd2
1.0
6.265 0.000 0.000
0.000 6.265 0.000
0.000 0.000 3.995
Li Ge Pd
4 2 4
Direct
0.158 0.342 0.000
0.342 0.842 0.000
0.658 0.158 0.000
0.842 0.658 0.000
0.000 0.000 0.500
0.500 0.500 0.500
0.150 0.650 0.500
0.350 0.150 0.500
0.650 0.850 0.500
0.850 0.350 0.500
```

D(E_F)   3.62 states/eV/cell
Crystal system   tetragonal
Magnetic moment   0.000 μB per formula unit
Uncorrected energy   -18.381 eV/atom
Calculated formation energy   -48.1 kJ per mole of atoms
Space-group type   No. 127

Material: NiAgSe2
Method: DFT, meta-GGA SCAN
State: PBEsol geometry

Structure (POSCAR):
```
NiAgSe2
1.0
-1.722 2.155 5.181
1.722 -2.155 5.181
1.722 2.155 -5.181
Ni Ag Se
1 1 2
Direct
0.000 0.000 0.000
0.500 0.500 0.000
0.150 0.650 0.500
0.850 0.350 0.500
```

ΔE to the lowest computed polymorph   0.054 eV/atom
Formation energy (no corrections)   -145 meV per atom
D(E_F)   2.52 states/eV/cell
Crystal system   orthorhombic
Magnetic moment   0.022 μB per formula unit
Uncorrected energy   -22.070 eV/atom
Space-group type   No. 71

Material: AlPdS3
Method: DFT, meta-GGA SCAN
State: PBEsol geometry

Structure (POSCAR):
```
AlPdS3
1.0
4.500 0.000 0.000
0.000 4.500 0.000
0.000 0.000 4.500
Al Pd S
1 1 3
Direct
0.000 0.000 0.000
0.500 0.500 0.500
0.000 0.000 0.500
0.000 0.500 0.000
0.500 0.000 0.000
```

Formation energy (no corrections)   230 meV per atom
D(E_F)   6.36 states/eV/cell
Crystal system   cubic
Magnetic moment   0.003 μB per formula unit
Uncorrected energy   -13.652 eV/atom
Space-group type   No. 221

Material: TaCo4Ir
Method: DFT, meta-GGA SCAN
State: PBEsol geometry

Structure (POSCAR):
```
TaCo4Ir
1.0
0.000 3.289 3.289
3.289 0.000 3.289
3.289 3.289 0.000
Ta Co Ir
1 4 1
Direct
0.000 0.000 0.000
0.376 0.376 0.376
0.376 0.376 0.873
0.376 0.873 0.376
0.873 0.376 0.376
0.750 0.750 0.750
```

D(E_F)   5.17 states/eV/cell
Crystal system   cubic
Magnetic moment   7.242 μB per formula unit
Uncorrected energy   -34.675 eV/atom
Calculated formation energy   -18.5 kJ per mole of atoms
Space-group type   No. 216

Material: AlHgTe2I
Method: DFT, meta-GGA SCAN
State: PBEsol geometry

Structure (POSCAR):
```
AlHgTe2I
1.0
5.525 0.000 0.000
0.000 5.525 0.000
0.000 0.000 5.801
Al Hg Te I
1 1 2 1
Direct
0.000 0.000 0.000
0.500 0.500 0.500
0.000 0.500 0.500
0.500 0.000 0.500
0.500 0.500 0.000
```

Formation energy (no corrections)   528 meV per atom
D(E_F)   4.73 states/eV/cell
Crystal system   tetragonal
Magnetic moment   0.001 μB per formula unit
Uncorrected energy   -36.905 eV/atom
Space-group type   No. 123